No. 1
# Sc4CdNi2Pd PBE relaxed
data_Sc4CdNi2Pd
_chemical_formula_sum 'Sc12 Cd3 Ni6 Pd3'
_space_group_name_H-M_alt 'R -3 m'
_space_group_IT_number 166
_space_group_name_Hall '-R 3 2"'
_cell_length_a 4.6681
_cell_length_b 4.6681
_cell_length_c 23.0111
_cell_angle_alpha 90.00
_cell_angle_beta 90.00
_cell_angle_gamma 120.00
loop_
_atom_site_label
_atom_site_fract_x
_atom_site_fract_y
_atom_site_fract_z
_atom_site_occupancy
Sc1 0.0000 0.0000 0.1197 1
Sc2 0.0000 0.0000 0.3710 1
Cd1 0.0000 0.0000 0.5000 1
Ni1 0.0000 0.0000 0.2474 1
Pd1 0.0000 0.0000 0.0000 1
# DOS at the Fermi energy	0.85	states/eV/atom
# energy of formation from the pure elements	-0.488	eV/atom

No. 2
# Sm5Mg2Sn5 PBE relaxed
data_Sm5Mg2Sn5
_chemical_formula_sum 'Sm10 Mg4 Sn10'
_space_group_name_H-M_alt 'C 1 2/m 1'
_space_group_IT_number 12
_space_group_name_Hall '-C 2y'
_cell_length_a 16.4746
_cell_length_b 4.7747
_cell_length_c 10.6513
_cell_angle_alpha 90.00
_cell_angle_beta 128.28
_cell_angle_gamma 90.00
loop_
_atom_site_label
_atom_site_fract_x
_atom_site_fract_y
_atom_site_fract_z
_atom_site_occupancy
Sm1 0.0000 0.0000 0.0000 1
Sm2 0.0974 0.0000 0.4188 1
Sm3 0.1902 0.0000 0.8319 1
Mg1 0.1469 0.5000 0.2600 1
Sn1 0.0000 0.5000 0.5000 1
Sn2 0.0673 0.5000 0.8667 1
Sn3 0.2416 0.5000 0.6753 1
# DOS at the Fermi energy	0.52	states/eV/atom
# energy of formation from the pure elements	-0.618	eV/atom

Number 1: calculated total energy -140.70 eV per cell. Number 2: calculated total energy -108.43 eV per cell.